[1]
PrEr3Tm6: relaxed, PBE.

a = 6.163 Å, b = 10.890 Å, c = 10.890 Å
α = 121.28°, β = 90.00°, γ = 90.00°
Fractional positions:
Pr1 0.197 0.211 0.789
Pr2 0.697 0.789 0.211
Er1 0.954 0.711 0.924
Er2 0.599 0.612 0.388
Er3 0.954 0.076 0.289
Er4 0.099 0.388 0.612
Er5 0.454 0.924 0.711
Er6 0.454 0.289 0.076
Tm1 0.504 0.625 0.716
Tm2 0.858 0.443 0.019
Tm3 0.919 0.049 0.951
Tm4 0.358 0.557 0.981
Tm5 0.004 0.375 0.284
Tm6 0.858 0.981 0.557
Tm7 0.419 0.951 0.049
Tm8 0.137 0.692 0.308
Tm9 0.004 0.716 0.625
Tm10 0.504 0.284 0.375
Tm11 0.358 0.019 0.443
Tm12 0.637 0.308 0.692

Properties
For the energy, the calculation gives -43.80 eV/f.u. The space group is Cmc2_1 (36). The calculation puts the formation energy at 0.150 eV/atom.


[2]
Pr12Er2Tm: relaxed, PBE.

a = 6.886 Å, b = 6.886 Å, c = 25.164 Å
α = 90.00°, β = 90.00°, γ = 63.45°
Fractional positions:
Pr1 0.752 0.748 0.870
Pr2 0.500 0.500 0.676
Pr3 0.274 0.774 0.440
Pr4 0.748 0.248 0.927
Pr5 0.270 0.230 0.586
Pr6 0.774 0.274 0.560
Pr7 0.500 0.500 0.802
Pr8 0.226 0.726 0.560
Pr9 0.000 0.000 0.802
Pr10 0.000 0.000 0.198
Pr11 0.252 0.752 0.927
Pr12 0.500 0.500 0.198
Pr13 0.230 0.270 0.414
Pr14 0.248 0.252 0.870
Pr15 0.748 0.752 0.130
Pr16 0.752 0.252 0.073
Pr17 0.252 0.248 0.130
Pr18 0.000 0.000 0.676
Pr19 0.726 0.226 0.440
Pr20 0.500 0.500 0.324
Pr21 0.730 0.770 0.586
Pr22 0.000 0.000 0.324
Pr23 0.770 0.730 0.414
Pr24 0.248 0.748 0.073
Er1 0.000 0.500 0.730
Er2 0.500 0.000 0.270
Er3 0.500 0.000 0.734
Er4 0.000 0.500 0.266
Tm1 0.500 0.000 0.001
Tm2 0.000 0.500 0.999

Properties
For the energy, the calculation gives -68.59 eV/f.u. The space group is Cmme (67). The calculation puts the formation energy at 0.158 eV/atom.


[3]
Pr3Er2Tm: relaxed, PBE.

a = 6.278 Å, b = 11.440 Å, c = 8.826 Å
α = 130.40°, β = 110.83°, γ = 90.00°
Fractional positions:
Pr1 0.500 0.202 0.000
Pr2 0.000 0.702 0.000
Pr3 0.000 0.298 0.000
Pr4 0.000 0.000 0.500
Pr5 0.500 0.798 0.000
Pr6 0.000 0.500 0.500
Er1 0.066 0.899 0.797
Er2 0.232 0.399 0.797
Er3 0.934 0.101 0.203
Er4 0.768 0.601 0.203
Tm1 0.570 0.250 0.500
Tm2 0.430 0.750 0.500

Properties
For the energy, the calculation gives -25.98 eV/f.u. The space group is Imma (74). The calculation puts the formation energy at 0.325 eV/atom.


[4]
Pr2ErTm6: relaxed, PBE.

a = 9.024 Å, b = 8.851 Å, c = 8.851 Å
α = 82.37°, β = 63.99°, γ = 63.99°
Fractional positions:
Tm1 0.460 0.598 0.334
Tm2 0.960 0.334 0.598
Tm3 0.816 0.187 0.006
Tm4 0.360 0.391 0.062
Tm5 0.040 0.666 0.402
Tm6 0.316 0.006 0.187
Tm7 0.184 0.813 0.994
Tm8 0.540 0.402 0.666
Tm9 0.684 0.994 0.813
Tm10 0.640 0.609 0.938
Tm11 0.140 0.938 0.609
Tm12 0.860 0.062 0.391
Er1 0.750 0.828 0.172
Er2 0.250 0.172 0.828
Pr1 0.065 0.599 0.784
Pr2 0.935 0.401 0.216
Pr3 0.565 0.784 0.599
Pr4 0.435 0.216 0.401

Properties
For the energy, the calculation gives -40.29 eV/f.u. The space group is C2/c (15). The calculation puts the formation energy at 0.073 eV/atom.


[5]
Pr3Er7Tm: relaxed, PBE.

a = 8.667 Å, b = 7.038 Å, c = 7.038 Å
α = 120.00°, β = 90.00°, γ = 90.00°
Fractional positions:
Er1 0.123 0.667 0.333
Er2 0.444 0.335 0.167
Er3 0.444 0.833 0.167
Er4 0.123 0.167 0.833
Er5 0.444 0.833 0.665
Er6 0.123 0.167 0.335
Er7 0.123 0.665 0.833
Pr1 0.783 0.500 0.000
Pr2 0.783 0.000 0.500
Pr3 0.783 0.500 0.500
Tm1 0.443 0.333 0.667

Properties
For the energy, the calculation gives -48.84 eV/f.u. The space group is P3m1 (156). The calculation puts the formation energy at 0.174 eV/atom.


[6]
PrEr3Tm8: relaxed, PBE.

a = 8.538 Å, b = 8.538 Å, c = 8.538 Å
α = 97.67°, β = 98.08°, γ = 136.54°
Fractional positions:
Tm1 0.830 0.251 0.081
Tm2 0.830 0.749 0.579
Tm3 0.170 0.251 0.421
Tm4 0.496 0.754 0.742
Tm5 0.012 0.754 0.258
Tm6 0.504 0.246 0.258
Tm7 0.170 0.749 0.919
Tm8 0.988 0.246 0.742
Er1 0.000 0.500 0.500
Er2 0.500 0.241 0.741
Er3 0.500 0.759 0.259
Pr1 0.000 0.000 0.000

Properties
For the energy, the calculation gives -50.26 eV/f.u. The space group is Immm (71). The calculation puts the formation energy at 0.332 eV/atom.


> The highest formation energy belongs to which entry?

PrEr3Tm8


> The lowest formation energy belongs to which entry?

Pr2ErTm6